Entry 1:
NaAc3Se4 | PBE-GGA | relaxed

Relative energy among the computed polymorphs = 0.023 eV per atom
Symmetry = Cmmm, No. 65
Spin magnetization = 0.0 μB/cell

Cell: 4.444 7.695 7.695 Å, 109.36 90.00 90.00°
Element x y z (fractional)
Na: 0.500 0.000 0.000
Ac: 0.000 0.000 0.500
Ac: 0.500 0.500 0.500
Ac: 0.000 0.500 0.000
Se: 0.000 0.247 0.247
Se: 0.500 0.754 0.246
Se: 0.000 0.753 0.753
Se: 0.500 0.246 0.754



Entry 2:
NiAu3 | PBE-GGA | relaxed

Energy of formation = 87 meV/atom
Symmetry = P6_3/mmc, No. 194
Spin magnetization = 0.0 μB/cell

Cell: 5.665 5.665 4.717 Å, 90.00 90.00 120.00°
Element x y z (fractional)
Au: 0.830 0.170 0.250
Au: 0.170 0.830 0.750
Au: 0.830 0.661 0.250
Au: 0.170 0.339 0.750
Au: 0.339 0.170 0.250
Au: 0.661 0.830 0.750
Ni: 0.333 0.667 0.250
Ni: 0.667 0.333 0.750



Entry 3:
La2Fe2Ni15 | PBE-GGA | relaxed

Energy of formation = -175 meV/atom
Symmetry = R-3m, No. 166
Spin magnetization = 11.6 μB/cell

Cell: 6.349 6.349 6.349 Å, 82.96 82.96 82.96°
Each line ends with the local moment (μB).
Element x y z (fractional)
La: 0.344 0.344 0.344  -0.09
La: 0.656 0.656 0.656  -0.09
Fe: 0.094 0.094 0.094  2.78
Fe: 0.906 0.906 0.906  2.78
Ni: 0.500 0.000 0.000  0.50
Ni: 0.000 0.000 0.500  0.50
Ni: 0.000 0.500 0.000  0.50
Ni: 0.000 0.709 0.291  0.44
Ni: 0.709 0.291 0.000  0.44
Ni: 0.291 0.000 0.709  0.44
Ni: 0.291 0.709 0.000  0.44
Ni: 0.709 0.000 0.291  0.44
Ni: 0.000 0.291 0.709  0.44
Ni: 0.150 0.659 0.659  0.44
Ni: 0.659 0.659 0.150  0.44
Ni: 0.659 0.150 0.659  0.44
Ni: 0.850 0.341 0.341  0.44
Ni: 0.341 0.341 0.850  0.44
Ni: 0.341 0.850 0.341  0.44



Entry 4:
AlIrO4 | PBE-GGA | relaxed

Symmetry = Cmmm, No. 65
Spin magnetization = 0.0 μB/cell
VASP energy = -7.03 eV/atom

Cell: 3.042 4.478 4.478 Å, 89.18 90.00 90.00°
Element x y z (fractional)
Al: 0.000 0.500 0.500
Ir: 0.500 0.000 0.000
O: 0.000 0.198 0.198
O: 0.000 0.802 0.802
O: 0.500 0.689 0.311
O: 0.500 0.311 0.689



Entry 5:
Ac2NiPt | PBE-GGA | relaxed

Energy of formation = -576 meV/atom
Symmetry = R3m, No. 160
Spin magnetization = 0.0 μB/cell

Cell: 4.268 4.268 7.837 Å, 74.20 74.20 60.00°
Element x y z (fractional)
Ac: 0.081 0.081 0.757
Ac: 0.252 0.252 0.245
Ni: 0.501 0.501 0.496
Pt: 0.666 0.666 0.001



Entry 6:
CoMoPt | PBE-GGA | relaxed

Energy of formation = -167 meV/atom
Relative energy among the computed polymorphs = 0.000 eV per atom
Symmetry = Imm2, No. 44
Spin magnetization = 0.0 μB/cell

Cell: 4.710 4.710 4.710 Å, 146.63 132.98 58.87°
Element x y z (fractional)
Mo: 0.342 0.342 0.000
Co: 0.994 0.994 0.000
Pt: 0.664 0.664 0.000



Entry 7:
SmThAl | PBE-GGA | relaxed

Energy of formation = -139 meV/atom
Relative energy among the computed polymorphs = 0.000 eV per atom
Symmetry = I4mm, No. 107
Spin magnetization = 0.0 μB/cell

Cell: 3.450 3.450 7.493 Å, 103.31 103.31 90.00°
Element x y z (fractional)
Sm: 0.313 0.313 0.626
Th: 0.019 0.019 0.039
Al: 0.668 0.668 0.336



Entry 8:
NiMo2Ru2 | PBE-GGA | relaxed

Energy of formation = 275 meV/atom
Symmetry = P4/mbm, No. 127
Spin magnetization = 0.0 μB/cell

Cell: 7.258 7.258 2.900 Å, 90.00 90.00 90.00°
Element x y z (fractional)
Ru: 0.364 0.864 0.000
Ru: 0.864 0.636 0.000
Ru: 0.636 0.136 0.000
Ru: 0.136 0.364 0.000
Mo: 0.166 0.666 0.500
Mo: 0.666 0.834 0.500
Mo: 0.834 0.334 0.500
Mo: 0.334 0.166 0.500
Ni: 0.000 0.000 0.000
Ni: 0.500 0.500 0.000